(1)
The following is a PBE calculation of a relaxed structure of Tl4RePt, from Alexandria.

Structure (POSCAR):
```
Tl4RePt
1.0
0.000 4.292 4.292
4.292 0.000 4.292
4.292 4.292 0.000
Tl Re Pt
4 1 1
Direct
0.125 0.125 0.125 Tl
0.125 0.125 0.625 Tl
0.125 0.625 0.125 Tl
0.625 0.125 0.125 Tl
0.500 0.500 0.500 Re
0.750 0.750 0.750 Pt
```

Results
The formation energy is 1.3276 eV per atom. As for the space group: F-43m. Its calculated density is 12.59 g cm⁻³.

***

(2)
The following is a PBE calculation of a relaxed structure of KTa2S, from Alexandria.

Structure (POSCAR):
```
KTa2S
1.0
-2.506 2.506 8.904
2.506 -2.506 8.904
2.506 2.506 -8.904
K Ta S
2 4 2
Direct
0.375 0.625 0.750 K
0.625 0.375 0.250 K
0.000 0.000 0.000 Ta
0.000 0.000 0.500 Ta
0.000 0.500 0.000 Ta
0.500 0.000 0.500 Ta
0.125 0.875 0.250 S
0.875 0.125 0.750 S
```

Results
Its uncorrected formation energy is 3.45 eV/f.u. As for the space group: I4_1/amd. Its calculated density is 6.43 g cm⁻³.

***

(3)
The following is a PBE calculation of a relaxed structure of Na3Tl12Ag, from Alexandria.

Structure (POSCAR):
```
Na3Tl12Ag
1.0
4.904 0.000 0.000
0.000 4.904 0.000
0.000 0.000 18.960
Na Tl Ag
3 12 1
Direct
0.000 0.000 0.000 Na
0.000 0.000 0.254 Na
0.000 0.000 0.746 Na
0.000 0.500 0.127 Tl
0.000 0.500 0.383 Tl
0.000 0.500 0.617 Tl
0.000 0.500 0.873 Tl
0.500 0.000 0.127 Tl
0.500 0.000 0.383 Tl
0.500 0.000 0.617 Tl
0.500 0.000 0.873 Tl
0.500 0.500 0.000 Tl
0.500 0.500 0.252 Tl
0.500 0.500 0.500 Tl
0.500 0.500 0.748 Tl
0.000 0.000 0.500 Ag
```

Results
The formation energy is -0.0294 eV per atom. As for the space group: P4/mmm. Its calculated density is 9.58 g cm⁻³.

***

(4)
The following is a PBE calculation of a relaxed structure of PrNdTmCd, from Alexandria.

Structure (POSCAR):
```
PrNdTmCd
1.0
0.000 3.930 3.930
3.930 0.000 3.930
3.930 3.930 0.000
Pr Nd Tm Cd
1 1 1 1
Direct
0.000 0.000 0.000 Pr
0.500 0.500 0.500 Nd
0.750 0.750 0.750 Tm
0.250 0.250 0.250 Cd
```

Results
As for the energy above the most stable polymorph in this dataset: 0.090 eV/atom. The formation energy is -0.0584 eV per atom. As for the space group: F-43m. Its calculated density is 7.75 g cm⁻³.

***

(5)
The following is a PBE calculation of a relaxed structure of Pm2LuMn, from Alexandria.

Structure (POSCAR):
```
Pm2LuMn
1.0
3.606 0.000 0.000
0.000 3.606 0.000
0.000 0.000 8.640
Pm Lu Mn
2 1 1
Direct
0.000 0.000 0.213 Pm
0.000 0.000 0.787 Pm
0.500 0.500 0.500 Lu
0.500 0.500 0.000 Mn
```

Results
As for the energy above the most stable polymorph in this dataset: 0.000 eV/atom. The formation energy is 0.1734 eV per atom. As for the space group: P4/mmm. Its calculated density is 7.68 g cm⁻³.

***

(6)
The following is a PBE calculation of a relaxed structure of PaTc2Bi, from Alexandria.

Structure (POSCAR):
```
PaTc2Bi
1.0
0.000 3.406 3.406
3.406 0.000 3.406
3.406 3.406 0.000
Pa Tc Bi
1 2 1
Direct
0.000 0.000 0.000 Pa
0.250 0.250 0.250 Tc
0.750 0.750 0.750 Tc
0.500 0.500 0.500 Bi
```

Results
As for the energy above the most stable polymorph in this dataset: 0.043 eV/atom. The formation energy is 0.0251 eV per atom. As for the space group: Fm-3m. Its calculated density is 13.37 g cm⁻³.

***

(7)
The following is a PBE calculation of a relaxed structure of TaTl2Se, from Alexandria.

Structure (POSCAR):
```
TaTl2Se
1.0
1.753 -2.695 0.000
1.753 2.695 0.000
0.000 0.000 10.614
Ta Tl Se
1 2 1
Direct
0.000 0.000 0.000 Ta
0.000 0.000 0.494 Tl
0.500 0.500 0.767 Tl
0.500 0.500 0.174 Se
```

Results
As for the energy above the most stable polymorph in this dataset: 0.158 eV/atom. Its uncorrected formation energy is 0.40 eV/f.u. As for the space group: Cmm2. Its calculated density is 11.07 g cm⁻³.

***

(8)
The following is a PBE calculation of a relaxed structure of LiPaGa5, from Alexandria.

Structure (POSCAR):
```
LiPaGa5
1.0
4.374 0.000 0.000
0.000 4.374 0.000
0.000 0.000 6.910
Li Pa Ga
1 1 5
Direct
0.000 0.000 0.000 Li
0.000 0.000 0.500 Pa
0.000 0.500 0.198 Ga
0.000 0.500 0.802 Ga
0.500 0.000 0.198 Ga
0.500 0.000 0.802 Ga
0.500 0.500 0.500 Ga
```

Results
The formation energy is -0.2473 eV per atom. As for the space group: P4/mmm. Its calculated density is 7.37 g cm⁻³.

***

(9)
The following is a PBE calculation of a relaxed structure of KLiCd2, from Alexandria.

Structure (POSCAR):
```
KLiCd2
1.0
3.444 -4.874 0.000
3.444 4.874 0.000
-0.033 0.000 3.434
K Li Cd
1 1 2
Direct
0.000 0.000 0.000 K
0.500 0.500 0.000 Li
0.000 0.500 0.500 Cd
0.500 0.000 0.500 Cd
```

Results
As for the energy above the most stable polymorph in this dataset: 0.154 eV/atom. The formation energy is 0.0421 eV per atom. As for the space group: C2/m. Its calculated density is 3.90 g cm⁻³.

***

(10)
The following is a PBE calculation of a relaxed structure of K6CdHg, from Alexandria.

Structure (POSCAR):
```
K6CdHg
1.0
4.769 0.000 0.000
0.000 6.593 7.266
0.000 -6.593 7.266
K Cd Hg
6 1 1
Direct
0.000 0.000 0.000 K
0.000 0.551 0.884 K
0.000 0.884 0.551 K
0.500 0.248 0.688 K
0.500 0.265 0.265 K
0.500 0.688 0.248 K
0.000 0.481 0.481 Cd
0.500 0.609 0.609 Hg
```

Results
The formation energy is -0.0639 eV per atom. As for the space group: Amm2. Its calculated density is 1.99 g cm⁻³.